LiCeTm2Te4 | Alexandria via LeMat-Bulk | PBE | relaxed; M_tot = 1.29 μB per formula unit; calculated total energy = -4.94 eV per atom; SG = P2/m
1.0
4.3256 0.0000 0.0000
0.0000 7.5572 0.1510
0.0000 -2.6231 7.1161
Li Te Tm Ce
1 4 2 1
Cartesian
2.1628 3.7786 0.0755 Li
0.0000 4.9485 1.9155 Te
2.1628 3.6269 5.3931 Te
2.1628 1.3072 1.8739 Te
0.0000 -0.0144 5.3516 Te
0.0000 2.4671 3.6335 Tm
2.1628 -1.3115 3.5580 Tm
0.0000 0.0000 0.0000 Ce

***

YZrMo | Alexandria via LeMat-Bulk | PBE | relaxed; M_tot = 0.00 μB per formula unit; formation energy = 0.143 eV per atom; SG = I4mm; energy above the most stable polymorph in this dataset = 4.6 kJ/mol of formula units
1.0
-1.7503 5.3328 -2.5499
-4.5244 1.4658 -3.9224
1.6157 -2.9856 5.1458
Mo Zr Y
1 1 1
Cartesian
-0.1171 0.1269 -0.1208 Mo
-3.9710 4.3026 -4.0961 Zr
-2.1866 2.3691 -2.2554 Y

***

NbVW3 | Alexandria via LeMat-Bulk | PBE | relaxed; M_tot = 0.00 μB per formula unit; formation energy = 0.276 eV per atom; SG = P2_1/m; energy above the most stable polymorph in this dataset = 0.0 kJ/mol of formula units
1.0
10.2383 0.8516 0.0000
-4.5029 6.1808 0.0000
0.0000 0.0000 4.9624
W Nb V
12 4 4
Cartesian
-0.4531 3.7583 3.7218 W
4.6660 4.1841 3.7218 W
2.4754 2.6214 3.7219 W
1.0693 2.8483 1.2406 W
6.1885 3.2741 1.2406 W
2.5593 0.2131 0.0005 W
-1.8592 3.9852 1.2407 W
7.5945 3.0472 3.7217 W
3.1760 6.8193 4.9619 W
7.6785 0.6389 2.4807 W
3.2600 4.4110 1.2405 W
-1.9431 6.3935 2.4817 W
0.6101 5.7320 1.2404 Nb
5.7292 6.1578 1.2408 Nb
5.1253 1.3004 3.7219 Nb
0.0061 0.8746 3.7216 Nb
6.8934 5.3683 3.7220 V
-1.1581 1.6640 1.2404 V
3.9611 2.0898 1.2408 V
1.7743 4.9425 3.7216 V

***

Mass density, respectively: 7.053 6.620 13.868 Mg/m³.